NaPmMoO4: optimized geometry, GGA+U.

Computed properties:
symmetry = Imma (74)
raw total energy = -6.990 eV per atom

a b c (Å): 6.751 6.751 6.751
angles (deg): 121.80 116.06 91.93
Fractional coordinates of all 14 atoms:
Na 0.366 0.116 0.250
Na 0.634 0.884 0.750
Pm 0.000 0.500 0.500
Pm 0.500 0.500 0.000
Mo 0.000 0.000 0.500
Mo 0.000 0.500 0.000
O 0.190 0.748 0.442
O 0.194 0.252 0.942
O 0.219 0.242 0.523
O 0.219 0.696 0.977
O 0.781 0.304 0.023
O 0.781 0.758 0.477
O 0.806 0.748 0.058
O 0.810 0.252 0.558